{
  "formula": "PrLu2Mn",
  "functional": "GGA-PBE",
  "state": "relaxed",
  "crystal_system": "tetragonal",
  "spacegroup": "P4/mmm (123)",
  "total_magnetization_mub_per_fu": 2.76,
  "dos_ef_per_ev_cell": 5.60,
  "volume_a3_per_atom": 26.487,
  "lattice": [[-0.7843, 0.1667, -3.3396], [-2.9505, -1.6485, 0.6106], [-4.1143, 7.8672, 1.3591]],
  "species": ["Pr", "Lu", "Lu", "Mn"],
  "frac_coords": [[0.5000, 0.5000, 0.5000], [0.0000, 0.0000, 0.8117], [0.0000, 0.0000, 0.1883], [0.5000, 0.5000, 0.0000]]
}

=====

{
  "formula": "LuMnRuPt",
  "functional": "GGA-PBE",
  "state": "relaxed",
  "crystal_system": "cubic",
  "spacegroup": "F-43m (216)",
  "total_magnetization_mub_per_fu": 4.38,
  "dos_ef_per_ev_cell": 2.55,
  "volume_a3_per_atom": 16.725,
  "lattice": [[-2.5217, -3.4867, -1.4990], [1.4339, -2.4959, -3.5324], [1.4117, -4.2820, 0.6596]],
  "species": ["Ru", "Lu", "Mn", "Pt"],
  "frac_coords": [[0.2500, 0.2500, 0.2500], [0.5000, 0.5000, 0.5000], [0.0000, 0.0000, 0.0000], [0.7500, 0.7500, 0.7500]]
}

=====

{
  "formula": "LuPuMn2",
  "functional": "GGA-PBE",
  "state": "relaxed",
  "crystal_system": "tetragonal",
  "spacegroup": "P4/mmm (123)",
  "total_magnetization_mub_per_fu": 0.10,
  "dos_ef_per_ev_cell": 5.62,
  "volume_a3_per_atom": 19.117,
  "lattice": [[3.3125, 0.0000, 0.0000], [0.0000, 4.8046, 0.0000], [0.0000, 0.0000, 4.8046]],
  "species": ["Pu", "Lu", "Mn", "Mn"],
  "frac_coords": [[0.5000, 0.5000, 0.5000], [0.5000, 0.0000, 0.0000], [0.0000, 0.5000, 0.0000], [0.0000, 0.0000, 0.5000]]
}

=====

Number 1: formation energy 0.09 eV/atom. Number 2: formation energy -0.46 eV/atom. Number 3: formation energy 0.07 eV/atom.